Compound: K3NpSn2S6
Source: Alexandria via LeMat-Bulk
Functional: GGA-PBE
Structure: optimized geometry

Unit cell a=7.2522 b=7.2522 c=7.5896 alpha=99.19 beta=99.19 gamma=119.97
Closest atoms and distances in Å follow each position.
Fractional positions:
Np1 0.0000 0.0000 0.0000  6 S 2.65
K1 0.5000 0.5000 0.5000  6 S 3.17-3.39
S1 0.6257 0.9331 0.7996  1 Np 2.65, 2 Sn 2.90-2.91
Sn1 0.3344 0.6656 0.0000  6 S 2.90-2.91
Sn2 0.6656 0.3344 0.0000  6 S 2.90-2.91
S2 0.0669 0.3743 0.2004  1 Np 2.65, 2 Sn 2.90-2.91
K2 0.8264 0.1736 0.5000  6 S 3.18-3.32
S3 0.9331 0.6257 0.7996  1 Np 2.65, 2 Sn 2.90-2.91
S4 0.7608 0.7608 0.2009  1 Np 2.65, 2 Sn 2.90
S5 0.3743 0.0669 0.2004  1 Np 2.65, 2 Sn 2.90-2.91
S6 0.2392 0.2392 0.7991  1 Np 2.65, 2 Sn 2.90
K3 0.1736 0.8264 0.5000  6 S 3.18-3.32

Values from the calculation:
Calculated total energy: -0.375 Ry per atom
Symmetry: C2/m (12)
Formation energy (no corrections): -12.26 eV/f.u.